3
Lattice="-1.957 1.957 5.793 1.957 -1.957 5.793 1.957 1.957 -5.793" Properties=species:S:1:pos:R:3 comment="TlGaTe PBE-GGA relaxed" de_polymorph_ev_per_fu=0.30 dos_ef_per_ev_atom=0.64 crystal_system=tetragonal formation_energy_uncorrected_kcal_per_mol_atoms=-2.251 pbc="T T T"
Tl 0.000 0.000 0.000
Ga 0.000 0.000 3.483
Te 0.000 0.000 8.017

***

4
Lattice="0.000 3.662 3.662 3.662 0.000 3.662 3.662 3.662 0.000" Properties=species:S:1:pos:R:3 comment="Tl2BiO PBE-GGA relaxed" de_polymorph_ev_per_fu=1.42 dos_ef_per_ev_atom=0.77 crystal_system=cubic formation_energy_uncorrected_kcal_per_mol_atoms=5.015 pbc="T T T"
Tl 1.831 1.831 1.831
Tl 5.492 5.492 5.492
Bi 0.000 0.000 0.000
O 3.662 3.662 3.662

***

4
Lattice="1.382 0.798 9.484 -1.382 0.798 9.484 0.000 -1.596 9.484" Properties=species:S:1:pos:R:3 comment="LiTaOs2 PBE-GGA relaxed" dos_ef_per_ev_atom=0.76 crystal_system=trigonal formation_energy_ev_per_fu=1.1 pbc="T T T"
Li 0.000 0.000 0.000
Ta 0.000 0.000 21.595
Os 0.000 0.000 7.160
Os 0.000 0.000 14.523

***

4
Lattice="1.445 0.834 7.766 -1.445 0.834 7.766 0.000 -1.669 7.766" Properties=species:S:1:pos:R:3 comment="Si2OsPt PBE-GGA relaxed" dos_ef_per_ev_atom=0.61 crystal_system=trigonal formation_energy_uncorrected_kcal_per_mol_atoms=-6.256 pbc="T T T"
Si 0.000 0.000 5.748
Si 0.000 0.000 17.550
Os 0.000 0.000 11.649
Pt 0.000 0.000 0.000

***

14
Lattice="7.157 0.000 0.000 -2.110 7.051 0.000 -2.461 -2.500 7.306" Properties=species:S:1:pos:R:3 comment="Pm4HgRu2 PBE-GGA relaxed" dos_ef_per_ev_atom=0.74 crystal_system=triclinic formation_energy_ev_per_fu=-1.5 pbc="T T T"
Pm 0.000 0.000 0.000
Pm -1.605 1.902 2.375
Pm -1.059 5.401 3.398
Pm 0.010 -0.072 6.505
Pm 1.507 5.989 0.079
Pm 1.310 2.915 4.360
Pm 4.519 -0.833 4.074
Pm 3.573 1.168 6.796
Hg 2.319 1.040 2.113
Hg 3.516 4.256 1.798
Ru -2.970 4.058 5.142
Ru -1.485 1.863 5.050
Ru 0.672 3.489 1.670
Ru 2.501 -1.491 5.939

***

12
Lattice="2.782 -7.972 0.000 2.782 7.972 0.000 0.000 0.000 5.572" Properties=species:S:1:pos:R:3 comment="CeGaGeIr3 PBE-GGA relaxed" dos_ef_per_ev_atom=1.06 crystal_system=orthorhombic formation_energy_ev_per_fu=-2.5 pbc="T T T"
Ce 2.782 4.526 4.179
Ce 2.782 -4.526 1.393
Ga 2.782 6.369 1.393
Ga 2.782 -6.369 4.179
Ge 2.782 1.449 1.393
Ge 2.782 -1.449 4.179
Ir 1.358 0.000 0.000
Ir 1.358 0.000 2.786
Ir 2.782 3.897 1.393
Ir 2.782 -3.897 4.179
Ir 4.207 0.000 0.000
Ir 4.207 0.000 2.786

***

4
Lattice="4.193 0.000 0.000 0.000 4.212 0.000 0.000 0.000 5.997" Properties=species:S:1:pos:R:3 comment="PbSe3 PBE-GGA relaxed" dos_ef_per_ev_atom=0.78 crystal_system=orthorhombic formation_energy_uncorrected_kcal_per_mol_atoms=-2.423 pbc="T T T"
Pb 0.000 0.000 0.000
Se 0.000 0.000 2.999
Se 2.096 2.106 0.000
Se 2.096 2.106 2.999

***

5
Lattice="-1.983 1.983 7.397 1.983 -1.983 7.397 1.983 1.983 -7.397" Properties=species:S:1:pos:R:3 comment="Ag2BiSe2 PBE-GGA relaxed" de_polymorph_ev_per_fu=0.30 dos_ef_per_ev_atom=0.47 crystal_system=tetragonal formation_energy_uncorrected_kcal_per_mol_atoms=0.627 pbc="T T T"
Ag 1.983 0.000 3.698
Ag 0.000 1.983 3.698
Bi 0.000 0.000 0.000
Se 0.000 0.000 5.752
Se 0.000 0.000 9.042

***

5
Lattice="5.436 0.000 0.000 0.000 5.436 0.000 0.000 0.000 5.981" Properties=species:S:1:pos:R:3 comment="SrTaBiAs2 PBE-GGA relaxed" de_polymorph_ev_per_fu=5.89 dos_ef_per_ev_atom=1.14 crystal_system=tetragonal formation_energy_ev_per_fu=7.4 pbc="T T T"
Sr 0.000 0.000 0.000
Ta 2.718 2.718 0.000
Bi 0.000 0.000 2.990
As 0.000 2.718 2.990
As 2.718 0.000 2.990

***

3
Lattice="4.134 0.000 0.000 -2.067 3.580 0.000 0.000 0.000 2.793" Properties=species:S:1:pos:R:3 comment="MnGeW PBE-GGA relaxed" dos_ef_per_ev_atom=0.79 crystal_system=hexagonal formation_energy_ev_per_fu=0.3 pbc="T T T"
Mn 0.000 0.000 0.000
Ge 2.067 1.193 0.000
W 0.000 2.387 1.396

***

20
Lattice="5.070 0.000 0.000 0.000 5.070 0.000 0.000 0.000 25.692" Properties=species:S:1:pos:R:3 comment="La15TmIn4 PBE-GGA relaxed" dos_ef_per_ev_atom=1.53 crystal_system=tetragonal formation_energy_ev_per_fu=-4.6 pbc="T T T"
La 0.000 0.000 0.000
La 0.000 0.000 5.210
La 0.000 0.000 10.311
La 0.000 0.000 15.381
La 0.000 0.000 20.482
La 0.000 2.535 2.662
La 0.000 2.535 7.765
La 0.000 2.535 12.846
La 0.000 2.535 17.927
La 0.000 2.535 23.030
La 2.535 0.000 2.662
La 2.535 0.000 7.765
La 2.535 0.000 12.846
La 2.535 0.000 17.927
La 2.535 0.000 23.030
Tm 2.535 2.535 0.000
In 2.535 2.535 5.239
In 2.535 2.535 10.306
In 2.535 2.535 15.386
In 2.535 2.535 20.453

***

8
Lattice="5.467 0.000 0.000 0.000 9.184 0.000 -2.701 0.000 8.211" Properties=species:S:1:pos:R:3 comment="CsKHg2 PBE-GGA relaxed" de_polymorph_ev_per_fu=0.03 dos_ef_per_ev_atom=0.46 crystal_system=monoclinic formation_energy_ev_per_fu=-0.9 pbc="T T T"
Cs 0.013 2.296 1.665
Cs 2.753 6.888 6.546
K 0.019 2.296 6.031
K 2.747 6.888 2.180
Hg 0.016 5.350 4.094
Hg 0.016 8.425 4.094
Hg 2.750 0.758 4.117
Hg 2.750 3.834 4.117

***

Copy entry 4 word for word.
4
Lattice="1.445 0.834 7.766 -1.445 0.834 7.766 0.000 -1.669 7.766" Properties=species:S:1:pos:R:3 comment="Si2OsPt PBE-GGA relaxed" dos_ef_per_ev_atom=0.61 crystal_system=trigonal formation_energy_uncorrected_kcal_per_mol_atoms=-6.256 pbc="T T T"
Si 0.000 0.000 5.748
Si 0.000 0.000 17.550
Os 0.000 0.000 11.649
Pt 0.000 0.000 0.000